Compound: PmAsPtO
Source: OQMD
Functional: PBE
Structure: relaxed

Computed properties:
energy above the lowest structure with this stoichiometry	0	meV per atom
calculated density	10.05	g/cm3
E	-6.892	eV/atom
total moment	0.003	μB per formula unit

```
data_PmAsPtO
_cell_length_a 4.2303
_cell_length_b 4.2303
_cell_length_c 7.9616
_cell_angle_alpha 90.00
_cell_angle_beta 90.00
_cell_angle_gamma 90.00
_symmetry_space_group_name_H-M 'P 4/n m m'
_symmetry_Int_Tables_number 129
loop_
_symmetry_equiv_pos_as_xyz
'x,y,z'
'-x,-y,-z'
'-y+1/2,x,z'
'y+1/2,-x,-z'
'-x+1/2,-y+1/2,z'
'x+1/2,y+1/2,-z'
'y,-x+1/2,z'
'-y,x+1/2,-z'
'x+1/2,-y,-z'
'-x+1/2,y,z'
'-y,-x,-z'
'y,x,z'
'-x,y+1/2,-z'
'x,-y+1/2,z'
'y+1/2,x+1/2,-z'
'-y+1/2,-x+1/2,z'
loop_
_atom_site_label
_atom_site_type_symbol
_atom_site_fract_x
_atom_site_fract_y
_atom_site_fract_z
_atom_site_occupancy
Pm1 Pm 0.2500 0.2500 0.1340 1
As1 As 0.2500 0.2500 0.6702 1
Pt1 Pt 0.2500 0.7500 0.5000 1
O1 O 0.2500 0.7500 0.0000 1
```

---

Compound: PmAsPtO
Source: OQMD
Functional: PBE
Structure: relaxed

Computed properties:
energy above the lowest structure with this stoichiometry	370	meV per atom
calculated density	9.95	g/cm3
E	-6.523	eV/atom
total moment	0.003	μB per formula unit

```
data_PmAsPtO
_cell_length_a 4.6860
_cell_length_b 4.2485
_cell_length_c 7.2263
_cell_angle_alpha 90.00
_cell_angle_beta 90.00
_cell_angle_gamma 90.00
_symmetry_space_group_name_H-M 'P m c 21'
_symmetry_Int_Tables_number 26
_symmetry_space_group_name_Hall 'P 2c -2'
loop_
_atom_site_label
_atom_site_type_symbol
_atom_site_fract_x
_atom_site_fract_y
_atom_site_fract_z
_atom_site_occupancy
Pm1 Pm 0.0000 0.2351 0.0000 1
As1 As 0.5000 0.2246 0.6740 1
Pt1 Pt 0.5000 0.2785 0.3381 1
O1 O 0.0000 0.2698 0.3355 1
```

---

Compound: RbPmAsO
Source: OQMD
Functional: PBE
Structure: relaxed

Computed properties:
energy above the lowest structure with this stoichiometry	27	meV per atom
calculated density	4.73	g/cm3
E	-5.293	eV/atom
total moment	0.001	μB per formula unit

```
data_RbPmAsO
_cell_length_a 5.0821
_cell_length_b 7.1937
_cell_length_c 6.1675
_cell_angle_alpha 90.00
_cell_angle_beta 90.00
_cell_angle_gamma 90.00
_symmetry_space_group_name_H-M 'P m c 21'
_symmetry_Int_Tables_number 26
_symmetry_space_group_name_Hall 'P 2c -2'
loop_
_atom_site_label
_atom_site_type_symbol
_atom_site_fract_x
_atom_site_fract_y
_atom_site_fract_z
_atom_site_occupancy
Rb1 Rb 0.0000 0.1348 0.0000 1
Pm1 Pm 0.5000 0.2160 0.5003 1
As1 As 0.0000 0.4310 0.4730 1
O1 O 0.5000 0.0068 0.7577 1
```

---

Compound: RbPmAsO
Source: OQMD
Functional: PBE
Structure: relaxed

Computed properties:
energy above the lowest structure with this stoichiometry	117	meV per atom
calculated density	5.41	g/cm3
E	-5.204	eV/atom
total moment	0.006	μB per formula unit

```
data_RbPmAsO
_cell_length_a 4.2242
_cell_length_b 4.2242
_cell_length_c 11.0638
_cell_angle_alpha 90.00
_cell_angle_beta 90.00
_cell_angle_gamma 90.00
_symmetry_space_group_name_H-M 'P 4/n m m'
_symmetry_Int_Tables_number 129
loop_
_symmetry_equiv_pos_as_xyz
'x,y,z'
'-x,-y,-z'
'-y+1/2,x,z'
'y+1/2,-x,-z'
'-x+1/2,-y+1/2,z'
'x+1/2,y+1/2,-z'
'y,-x+1/2,z'
'-y,x+1/2,-z'
'x+1/2,-y,-z'
'-x+1/2,y,z'
'-y,-x,-z'
'y,x,z'
'-x,y+1/2,-z'
'x,-y+1/2,z'
'y+1/2,x+1/2,-z'
'-y+1/2,-x+1/2,z'
loop_
_atom_site_label
_atom_site_type_symbol
_atom_site_fract_x
_atom_site_fract_y
_atom_site_fract_z
_atom_site_occupancy
Rb1 Rb 0.2500 0.7500 0.0000 1
Pm1 Pm 0.2500 0.2500 0.4058 1
As1 As 0.2500 0.2500 0.7656 1
O1 O 0.2500 0.7500 0.5000 1
```